VASP calculation (GGA-PBE) on a relaxed TlHg2Br crystal.

Cell: 8.0244 8.0244 8.0244 Å, 90.00 90.00 90.00°
Closest atoms and distances in Å follow each position.
Space group F-43m (No. 216)
Inequivalent atoms, fractional coordinates:
Tl 0.0000 0.0000 0.0000 (multiplicity 4)  4 Hg 3.47, 4 Br 3.47
Hg 0.0000 0.0000 0.5000 (multiplicity 4)  4 Hg 3.47, 4 Br 3.47
Hg 0.2500 0.2500 0.2500 (multiplicity 4)  4 Hg 3.47, 4 Tl 3.47
Br 0.2500 0.2500 0.7500 (multiplicity 4)  4 Hg 3.47, 4 Tl 3.47

Output
The calculation puts the total magnetization at 0.000 μB/cell. For the uncorrected formation energy, the calculation gives -0.329 eV/atom. Its energy above the lowest structure with this stoichiometry is 0.29 eV per formula unit.


VASP calculation (GGA-PBE) on a relaxed TlHg3Br crystal.

Cell: 5.8953 5.8953 5.8953 Å, 90.00 90.00 90.00°
Closest atoms and distances in Å follow each position.
Space group Pm-3m (No. 221)
Inequivalent atoms, fractional coordinates:
Tl 0.0000 0.0000 0.0000 (multiplicity 1)  6 Hg 2.95
Hg 0.0000 0.0000 0.5000 (multiplicity 3)  2 Tl 2.95
Br 0.5000 0.5000 0.5000 (multiplicity 1)  12 Hg 4.17

Output
The calculation puts the total magnetization at 0.000 μB/cell. For the uncorrected formation energy, the calculation gives -0.021 eV/atom. Its energy above the lowest structure with this stoichiometry is 0.00 eV per formula unit.


VASP calculation (GGA-PBE) on a relaxed Tl4HgBr6 crystal.

Cell: 9.0906 9.0906 9.0690 Å, 90.00 90.00 90.00°
Closest atoms and distances in Å follow each position.
Space group P4/mnc (No. 128)
Inequivalent atoms, fractional coordinates:
Tl 0.1542 0.3458 0.2500 (multiplicity 8)  6 Br 3.31-3.49
Hg 0.0000 0.0000 0.0000 (multiplicity 2)  2 Br 2.60
Br 0.0000 0.0000 0.2867 (multiplicity 4)  1 Hg 2.60
Br 0.1355 0.6849 0.0000 (multiplicity 8)  1 Hg 3.12, 4 Tl 3.31-3.49

Output
The calculation puts the total magnetization at 0.000 μB/cell. For the uncorrected formation energy, the calculation gives -0.741 eV/atom.


VASP calculation (GGA-PBE) on a relaxed Tl2HgBr6 crystal.

Cell: 15.0512 14.3133 8.5581 Å, 90.00 113.50 90.00°
Closest atoms and distances in Å follow each position.
Space group C2/c (No. 15)
Inequivalent atoms, fractional coordinates:
Tl 0.2298 0.0874 0.4418 (multiplicity 8)  4 Br 2.92-3.22
Hg 0.0000 0.3352 0.2500 (multiplicity 4)  4 Br 2.66-2.73
Br 0.0765 0.0256 0.1223 (multiplicity 8)  1 Br 2.52
Br 0.1185 0.2554 0.5381 (multiplicity 8)  1 Hg 2.66
Br 0.1370 0.4392 0.1963 (multiplicity 8)  1 Hg 2.73, 1 Tl 2.97

Output
The calculation puts the total magnetization at 0.000 μB/cell. For the uncorrected formation energy, the calculation gives -0.491 eV/atom.


VASP calculation (GGA-PBE) on a relaxed TlHg2Br crystal.

Cell: 4.6429 4.8718 12.1256 Å, 90.00 100.90 90.00°
Closest atoms and distances in Å follow each position.
Space group P2_1/m (No. 11)
Inequivalent atoms, fractional coordinates:
Tl 0.1794 0.2500 0.3561 (multiplicity 2)  5 Br 3.14-3.38
Hg 0.0547 0.7500 0.1120 (multiplicity 2)  8 Hg 3.36-3.61
Hg 0.4446 0.7500 0.8873 (multiplicity 2)  8 Hg 3.36-3.62, 2 Tl 3.70-3.72
Br 0.3091 0.2500 0.6195 (multiplicity 2)  5 Tl 3.14-3.38

Output
The calculation puts the total magnetization at 0.000 μB/cell. For the uncorrected formation energy, the calculation gives -0.402 eV/atom. Its energy above the lowest structure with this stoichiometry is 0.00 eV per formula unit.


VASP calculation (GGA-PBE) on a relaxed TlHg2Br crystal.

Cell: 6.4742 6.5935 12.8652 Å, 90.00 90.00 90.00°
Closest atoms and distances in Å follow each position.
Space group Fmmm (No. 69)
Inequivalent atoms, fractional coordinates:
Tl 0.0000 0.0000 0.0000 (multiplicity 4)  4 Br 3.24-3.30, 4 Hg 3.61
Hg 0.0000 0.2500 0.2500 (multiplicity 8)  4 Hg 3.24-3.30, 2 Tl 3.61, 2 Br 3.61
Br 0.0000 0.0000 0.5000 (multiplicity 4)  4 Tl 3.24-3.30, 4 Hg 3.61

Output
The calculation puts the total magnetization at 0.000 μB/cell. For the uncorrected formation energy, the calculation gives -0.361 eV/atom. Its energy above the lowest structure with this stoichiometry is 0.16 eV per formula unit.


VASP calculation (GGA-PBE) on a relaxed Tl3HgBr crystal.

Cell: 6.1346 6.1346 6.1346 Å, 90.00 90.00 90.00°
Closest atoms and distances in Å follow each position.
Space group Pm-3m (No. 221)
Inequivalent atoms, fractional coordinates:
Tl 0.0000 0.0000 0.5000 (multiplicity 3)  2 Br 3.07
Hg 0.5000 0.5000 0.5000 (multiplicity 1)  12 Tl 4.34
Br 0.0000 0.0000 0.0000 (multiplicity 1)  6 Tl 3.07

Output
The calculation puts the total magnetization at 0.000 μB/cell. For the uncorrected formation energy, the calculation gives 0.021 eV/atom. Its energy above the lowest structure with this stoichiometry is 0.30 eV per formula unit.


VASP calculation (GGA-PBE) on a relaxed TlHg2Br4 crystal.

Cell: 6.6666 6.6666 7.2413 Å, 90.00 90.00 90.00°
Closest atoms and distances in Å follow each position.
Space group P-42m (No. 111)
Inequivalent atoms, fractional coordinates:
Tl 0.0000 0.0000 0.0000 (multiplicity 1)  4 Br 3.27
Hg 0.0000 0.5000 0.5000 (multiplicity 2)  4 Br 2.80
Br 0.2647 0.2647 0.2913 (multiplicity 4)  2 Hg 2.80

Output
The calculation puts the total magnetization at 0.000 μB/cell. For the uncorrected formation energy, the calculation gives -0.410 eV/atom. Its energy above the lowest structure with this stoichiometry is 0.73 eV per formula unit.


VASP calculation (GGA-PBE) on a relaxed TlHg2Br8 crystal.

Cell: 12.6340 6.6308 11.6342 Å, 90.00 107.95 90.00°
Closest atoms and distances in Å follow each position.
Space group C2/m (No. 12)
Inequivalent atoms, fractional coordinates:
Tl 0.0000 0.0000 0.0000 (multiplicity 2)  4 Br 2.67
Hg 0.1694 0.5000 0.5576 (multiplicity 4)  2 Br 2.49-2.50
Br 0.0380 0.5000 0.6791 (multiplicity 4)  1 Hg 2.49
Br 0.1489 0.2659 0.1270 (multiplicity 8)  1 Tl 2.67
Br 0.1720 0.0000 0.5279 (multiplicity 4)  1 Hg 2.50

Output
The calculation puts the total magnetization at 0.000 μB/cell. For the uncorrected formation energy, the calculation gives -0.297 eV/atom.


VASP calculation (GGA-PBE) on a relaxed TlHg2Br crystal.

Cell: 6.4636 6.6736 6.3584 Å, 90.00 90.00 90.00°
Closest atoms and distances in Å follow each position.
Space group Cmmm (No. 65)
Inequivalent atoms, fractional coordinates:
Tl 0.0000 0.0000 0.0000 (multiplicity 2)  4 Br 3.23-3.34, 4 Hg 3.60
Hg 0.0000 0.2546 0.5000 (multiplicity 4)  4 Hg 3.23-3.40, 2 Br 3.58, 2 Tl 3.60
Br 0.0000 0.5000 0.0000 (multiplicity 2)  4 Tl 3.23-3.34, 4 Hg 3.58

Output
The calculation puts the total magnetization at 0.000 μB/cell. For the uncorrected formation energy, the calculation gives -0.358 eV/atom. Its energy above the lowest structure with this stoichiometry is 0.18 eV per formula unit.


VASP calculation (GGA-PBE) on a relaxed TlHg2Br4 crystal.

Cell: 7.6929 8.6799 8.8879 Å, 104.68 98.92 100.92°
Closest atoms and distances in Å follow each position.
Space group P1 (No. 1)
Inequivalent atoms, fractional coordinates:
Tl 0.0000 0.0000 0.0000 (multiplicity 1)  1 Hg 3.34, 6 Br 3.35-3.62
Tl 0.0325 0.7275 0.4052 (multiplicity 1)  6 Br 3.37-3.58
Hg 0.2258 0.2739 0.6380 (multiplicity 1)  4 Br 2.58-2.87
Hg 0.4216 0.6023 0.0872 (multiplicity 1)  3 Br 2.57-2.79
Hg 0.6252 0.0512 0.5249 (multiplicity 1)  2 Br 2.52-2.55
Hg 0.6786 0.2072 0.0444 (multiplicity 1)  1 Tl 3.34, 1 Br 3.59
Br 0.2033 0.4048 0.1839 (multiplicity 1)  1 Hg 2.57
Br 0.2045 0.5693 0.7710 (multiplicity 1)  1 Hg 2.58
Br 0.2717 0.0233 0.7415 (multiplicity 1)  1 Hg 2.63
Br 0.3439 0.8997 0.2302 (multiplicity 1)  2 Hg 2.79-2.95
Br 0.5718 0.3374 0.5542 (multiplicity 1)  1 Hg 2.55
Br 0.6945 0.8117 0.6146 (multiplicity 1)  1 Hg 2.52
Br 0.7493 0.6496 0.0482 (multiplicity 1)  1 Hg 2.57
Br 0.9518 0.1070 0.3822 (multiplicity 1)  2 Hg 2.72-3.00

Output
The calculation puts the total magnetization at 0.000 μB/cell. For the uncorrected formation energy, the calculation gives -0.515 eV/atom. Its energy above the lowest structure with this stoichiometry is 0.00 eV per formula unit.


VASP calculation (GGA-PBE) on a relaxed Tl5HgBr5 crystal.

Cell: 12.5172 6.6532 10.9758 Å, 90.00 107.75 90.00°
Closest atoms and distances in Å follow each position.
Space group C2/m (No. 12)
Inequivalent atoms, fractional coordinates:
Tl 0.0000 0.0000 0.0000 (multiplicity 2)  4 Br 3.24-3.27
Tl 0.1320 0.5000 0.8131 (multiplicity 4)  3 Br 3.04-3.37
Tl 0.2201 0.5000 0.3815 (multiplicity 4)  5 Br 3.24-3.48, 1 Hg 3.35
Hg 0.0000 0.0000 0.5000 (multiplicity 2)  4 Br 3.33-3.57, 2 Tl 3.35
Br 0.0000 0.5000 0.5000 (multiplicity 2)  2 Hg 3.33, 4 Tl 3.33-3.39
Br 0.1683 0.0000 0.2898 (multiplicity 4)  2 Tl 3.04-3.24
Br 0.2079 0.0000 0.8780 (multiplicity 4)  5 Tl 3.24-3.47

Output
The calculation puts the total magnetization at 0.000 μB/cell. For the uncorrected formation energy, the calculation gives -0.678 eV/atom.